Compound: TaSiIr2
Source: Alexandria via LeMat-Bulk
Functional: PBE
Structure: optimized geometry

The density of states at the Fermi level comes out at 0.809 states/eV per atom. The value obtained for the total DFT energy (no corrections) is -9.2082 eV/atom.

The structure belongs to space group P2/m (No. 10); the cell edges are 2.8434, 4.0728 and 5.3541 Å and the angles 90.00°, 103.75° and 90.00°. The asymmetric unit holds Ta at (0.0000, 0.0000, 0.0000), Si at (0.5000, 0.0000, 0.5000) and Ir at (0.3818, 0.5000, 0.7389).


Compound: Pr8P4S3
Source: Alexandria via LeMat-Bulk
Functional: PBE
Structure: optimized geometry

The density of states at the Fermi level comes out at 0.500 states/eV per atom. The value obtained for the total DFT energy (no corrections) is -6.4753 eV/atom.

The structure belongs to space group C2/m (No. 12); the cell edges are 11.7223, 11.7435 and 8.2976 Å and the angles 90.00°, 134.91° and 90.00°. The asymmetric unit holds Pr at (0.0000, 0.2463, 0.0000), Pr at (0.0000, 0.2526, 0.5000), Pr at (0.2467, 0.0000, 0.4896), Pr at (0.2496, 0.0000, 0.0025), P at (0.0000, 0.0000, 0.0000), P at (0.0000, 0.5000, 0.5000), P at (0.2500, 0.2500, 0.0000), S at (0.0000, 0.0000, 0.5000) and S at (0.2500, 0.2500, 0.5000).


Compound: Nd2TmTl
Source: Alexandria via LeMat-Bulk
Functional: PBE
Structure: optimized geometry

For the formation enthalpy at 0 K, the calculation gives -172 meV per atom. The density of states at the Fermi level comes out at 1.116 states/eV per atom. Its distance to the lowest polymorph of the same formula is 18 meV per atom.

The structure belongs to space group Imma (No. 74); the cell edges are 6.8247, 8.7895 and 8.1814 Å and the angles 90.00°, 90.00° and 90.00°. The asymmetric unit holds Nd at (0.2500, 0.0488, 0.2500), Tm at (0.0000, 0.2500, 0.5661) and Tl at (0.0000, 0.2500, 0.9477).


Compound: Si3HgTe
Source: Alexandria via LeMat-Bulk
Functional: PBE
Structure: optimized geometry

The density of states at the Fermi level comes out at 1.141 states/eV per atom. Its distance to the lowest polymorph of the same formula is 0 meV per atom.

The structure belongs to space group Pm-3m (No. 221); the cell edges are 5.0805, 5.0805 and 5.0805 Å and the angles 90.00°, 90.00° and 90.00°. The asymmetric unit holds Si at (0.0000, 0.0000, 0.5000), Hg at (0.0000, 0.0000, 0.0000) and Te at (0.5000, 0.5000, 0.5000).


Compound: CsLaSnSe4
Source: Alexandria via LeMat-Bulk
Functional: PBE
Structure: optimized geometry

The value obtained for the total DFT energy (no corrections) is -4.6089 eV/atom.

The structure belongs to space group P2_1/m (No. 11); the cell edges are 7.1851, 7.3053 and 10.0101 Å and the angles 90.00°, 107.86° and 90.00°. The asymmetric unit holds Cs at (0.2475, 0.2500, 0.4411), La at (0.2716, 0.2500, 0.9484), Sn at (0.2753, 0.7500, 0.1672), Se at (0.0535, 0.7500, 0.9154), Se at (0.0676, 0.7500, 0.3295) and Se at (0.4819, 0.5158, 0.7981).


Compound: Ni3AgBi
Source: Alexandria via LeMat-Bulk
Functional: PBE
Structure: optimized geometry

For the formation enthalpy at 0 K, the calculation gives 1085 meV per atom. The density of states at the Fermi level comes out at 1.421 states/eV per atom. Its distance to the lowest polymorph of the same formula is 0 meV per atom.

The structure belongs to space group Pm-3m (No. 221); the cell edges are 4.6421, 4.6421 and 4.6421 Å and the angles 90.00°, 90.00° and 90.00°. The asymmetric unit holds Ni at (0.0000, 0.0000, 0.5000), Ag at (0.0000, 0.0000, 0.0000) and Bi at (0.5000, 0.5000, 0.5000).


no.,volume (Å³ per cell),magnetic moment (μB per cell)
1,60.2,0.00
2,809.0,0.00
3,490.8,0.00
4,131.1,0.00
5,500.1,0.00
6,100.0,0.86